# 1
Here is a geometry-optimized TbSmIrO6 structure from the Alexandria database. Energies are from PBE.

final energy	-7.483	eV/atom
magnetization	5.7	Bohr magnetons per cell
space group	P-31c (163)

Lattice parameters (Å, degrees): 5.586 5.586 9.463 90.00 90.00 120.00
Sites, in units of the cell vectors:
O  0.050  0.371  0.633
O  0.629  0.950  0.867
O  0.371  0.321  0.367
O  0.629  0.679  0.633
O  0.371  0.050  0.133
O  0.321  0.950  0.633
O  0.950  0.321  0.133
O  0.321  0.371  0.867
Tb  0.000  0.000  0.000
O  0.050  0.679  0.867
O  0.679  0.050  0.367
Ir  0.667  0.333  0.250
Ir  0.333  0.667  0.750
Tb  0.000  0.000  0.500
O  0.950  0.629  0.367
O  0.679  0.629  0.133
Sm  0.667  0.333  0.750
Sm  0.333  0.667  0.250

# 2
Here is a geometry-optimized Sm2Tl2IrO6 structure from the Alexandria database. Energies are from PBE.

final energy	-6.561	eV/atom
magnetization	1.1	Bohr magnetons per cell
space group	C2/m (12)

Lattice parameters (Å, degrees): 5.932 5.932 6.761 96.89 96.89 120.27
Sites, in units of the cell vectors:
Sm  0.336  0.664  0.500
O  0.040  0.345  0.663
Sm  0.664  0.336  0.500
O  0.655  0.960  0.337
Tl  0.160  0.840  0.000
O  0.345  0.040  0.663
O  0.243  0.243  0.323
O  0.757  0.757  0.677
Ir  0.000  0.000  0.500
Tl  0.840  0.160  0.000
O  0.960  0.655  0.337

# 3
Here is a geometry-optimized SmTlIrO6 structure from the Alexandria database. Energies are from PBE.

final energy	-6.387	eV/atom
magnetization	3.3	Bohr magnetons per cell
space group	P-31c (163)

Lattice parameters (Å, degrees): 5.695 5.695 9.036 90.00 90.00 120.00
Sites, in units of the cell vectors:
Ir  0.667  0.333  0.250
O  0.386  0.338  0.371
O  0.662  0.048  0.371
O  0.386  0.048  0.129
O  0.952  0.614  0.371
Sm  0.333  0.667  0.250
O  0.048  0.386  0.629
O  0.338  0.952  0.629
O  0.662  0.614  0.129
Tl  0.000  0.000  0.000
O  0.952  0.338  0.129
Tl  0.000  0.000  0.500
O  0.338  0.386  0.871
Ir  0.333  0.667  0.750
O  0.614  0.662  0.629
O  0.614  0.952  0.871
O  0.048  0.662  0.871
Sm  0.667  0.333  0.750

# 4
Here is a geometry-optimized SmTl2Ir3O12 structure from the Alexandria database. Energies are from PBE.

final energy	-6.255	eV/atom
magnetization	0.0	Bohr magnetons per cell
space group	R-3m (166)

Lattice parameters (Å, degrees): 6.637 6.637 6.637 67.74 67.74 67.74
Sites, in units of the cell vectors:
O  0.114  0.722  0.722
Ir  0.000  0.500  0.000
Tl  0.389  0.389  0.389
Sm  0.000  0.000  0.000
O  0.141  0.587  0.141
Ir  0.500  0.000  0.000
Tl  0.611  0.611  0.611
O  0.722  0.114  0.722
O  0.413  0.859  0.859
O  0.859  0.859  0.413
O  0.886  0.278  0.278
O  0.141  0.141  0.587
Ir  0.000  0.000  0.500
O  0.278  0.278  0.886
O  0.278  0.886  0.278
O  0.859  0.413  0.859
O  0.587  0.141  0.141
O  0.722  0.722  0.114

# 5
Here is a geometry-optimized Sm2TlIrO8 structure from the Alexandria database. Energies are from PBE.

final energy	-6.751	eV/atom
magnetization	1.8	Bohr magnetons per cell
space group	P-1 (2)

Lattice parameters (Å, degrees): 4.786 4.868 7.387 87.92 87.90 94.09
Sites, in units of the cell vectors:
Sm  0.558  0.551  0.241
O  0.693  0.696  0.522
Tl  0.000  0.000  0.500
O  0.230  0.866  0.805
O  0.871  0.241  0.808
O  0.129  0.759  0.192
O  0.770  0.134  0.195
O  0.712  0.728  0.954
Sm  0.442  0.449  0.759
Ir  0.000  0.000  0.000
O  0.288  0.272  0.046
O  0.307  0.304  0.478

# 6
Here is a geometry-optimized SmTm2IrO8 structure from the Alexandria database. Energies are from PBE.

final energy	-7.551	eV/atom
magnetization	1.7	Bohr magnetons per cell
space group	Cmmm (65)

Lattice parameters (Å, degrees): 5.018 5.010 6.789 90.00 90.00 89.97
Sites, in units of the cell vectors:
O  0.728  0.729  0.000
Sm  0.000  0.000  0.500
O  0.272  0.271  0.000
O  0.813  0.189  0.794
Ir  0.000  0.000  0.000
Tm  0.500  0.500  0.251
Tm  0.500  0.500  0.749
O  0.684  0.686  0.500
O  0.813  0.189  0.206
O  0.187  0.811  0.794
O  0.187  0.811  0.206
O  0.316  0.314  0.500